[1]
Entry from Alexandria: an optimized crystal structure of PaPOsO (PBE).

Computed properties:
* size of the total moment: 0.00 μB/f.u.
* uncorrected formation energy: -1.843 eV/atom
* calculated total energy: -76.9 eV for the cell shown

Cell and atoms, written as POSCAR:
```
PaPOsO
1.0
3.977 0.000 0.000
0.000 3.977 0.000
0.000 0.000 7.712
Pa P Os O
2 2 2 2
direct
0.250 0.250 0.169 Pa
0.750 0.750 0.831 Pa
0.250 0.250 0.665 P
0.750 0.750 0.335 P
0.250 0.750 0.500 Os
0.750 0.250 0.500 Os
0.250 0.750 0.000 O
0.750 0.250 0.000 O
```

[2]
Entry from Alexandria: an optimized crystal structure of Tb2PrHoMg (PBE).

Computed properties:
* calculated formation energy: 17 meV per atom
* size of the total moment: 0.00 μB/f.u.
* calculated total energy: -40.3 eV for the cell shown

Cell and atoms, written as POSCAR:
```
Tb2PrHoMg
1.0
6.191 0.000 0.000
0.000 5.629 0.000
-3.064 0.000 8.924
Tb Pr Ho Mg
4 2 2 2
direct
0.051 0.250 0.299 Tb
0.123 0.750 0.106 Tb
0.877 0.250 0.894 Tb
0.949 0.750 0.701 Tb
0.463 0.250 0.112 Pr
0.537 0.750 0.888 Pr
0.339 0.750 0.501 Ho
0.661 0.250 0.499 Ho
0.267 0.250 0.691 Mg
0.733 0.750 0.309 Mg
```

[3]
Entry from Alexandria: an optimized crystal structure of PdSeS (PBE).

Computed properties:
* size of the total moment: 0.00 μB/f.u.
* distance to the lowest polymorph of the same formula: 0.062 eV/atom
* uncorrected formation energy: -0.202 eV/atom
* calculated total energy: -13.4 eV for the cell shown

Cell and atoms, written as POSCAR:
```
PdSeS
1.0
3.705 0.000 0.000
-1.852 3.208 0.000
0.000 0.000 4.797
Pd Se S
1 1 1
direct
0.000 0.000 0.000 Pd
0.333 0.667 0.722 Se
0.667 0.333 0.251 S
```

[4]
Entry from Alexandria: an optimized crystal structure of NbAl2SiCl (PBE).

Computed properties:
* size of the total moment: 0.00 μB/f.u.
* uncorrected formation energy: 0.779 eV/atom
* calculated total energy: -20.9 eV for the cell shown

Cell and atoms, written as POSCAR:
```
NbAl2SiCl
1.0
5.193 0.000 0.000
0.000 5.193 0.000
0.000 0.000 4.599
Nb Al Si Cl
1 2 1 1
direct
0.000 0.000 0.000 Nb
0.000 0.500 0.000 Al
0.500 0.000 0.000 Al
0.500 0.500 0.500 Si
0.000 0.000 0.500 Cl
```

[5]
Entry from Alexandria: an optimized crystal structure of Hf2TlGeB (PBE).

Computed properties:
* calculated formation energy: 737 meV per atom
* size of the total moment: 0.00 μB/f.u.
* calculated total energy: -29.9 eV for the cell shown

Cell and atoms, written as POSCAR:
```
Hf2TlGeB
1.0
5.218 0.000 0.000
0.000 5.218 0.000
0.000 0.000 3.747
Hf Tl Ge B
2 1 1 1
direct
0.000 0.500 0.000 Hf
0.500 0.000 0.000 Hf
0.000 0.000 0.500 Tl
0.500 0.500 0.000 Ge
0.500 0.500 0.500 B
```

[6]
Entry from Alexandria: an optimized crystal structure of KAlRe (PBE).

Computed properties:
* calculated formation energy: 723 meV per atom
* size of the total moment: 0.00 μB/f.u.
* distance to the lowest polymorph of the same formula: 0.087 eV/atom
* calculated total energy: -15.1 eV for the cell shown

Cell and atoms, written as POSCAR:
```
KAlRe
1.0
2.868 0.000 0.000
-1.434 2.484 0.000
0.000 0.000 8.137
K Al Re
1 1 1
direct
0.000 0.000 0.000 K
0.333 0.667 0.623 Al
0.667 0.333 0.362 Re
```

[7]
Entry from Alexandria: an optimized crystal structure of Zn2Mo (PBE).

Computed properties:
* calculated formation energy: 163 meV per atom
* size of the total moment: 0.00 μB/f.u.
* calculated total energy: -12.9 eV for the cell shown

Cell and atoms, written as POSCAR:
```
Zn2Mo
1.0
2.788 0.000 0.000
-1.394 2.415 0.000
0.000 0.000 6.777
Zn Mo
2 1
direct
0.333 0.667 0.165 Zn
0.667 0.333 0.835 Zn
0.000 0.000 0.500 Mo
```

[8]
Entry from Alexandria: an optimized crystal structure of ZrAg2Sb (PBE).

Computed properties:
* size of the total moment: 0.00 μB/f.u.
* uncorrected formation energy: -0.064 eV/atom
* calculated total energy: -18.6 eV for the cell shown

Cell and atoms, written as POSCAR:
```
ZrAg2Sb
1.0
3.218 0.000 0.000
0.000 3.218 0.000
0.000 0.000 8.208
Zr Ag Sb
1 2 1
direct
0.000 0.000 0.000 Zr
0.000 0.000 0.451 Ag
0.500 0.500 0.236 Ag
0.500 0.500 0.734 Sb
```